Record 1
Crystalline Nd2InTe at its relaxed geometry, computed with PBE.

abc: 3.7658 3.7658 8.3448
angles: 90.00 90.00 90.00
Closest atoms and distances in Å follow each position.
Atoms (fractional coordinates):
Nd 0.0000 0.0000 0.2403  4 Te 3.33, 4 In 3.43
Nd 0.0000 0.0000 0.7597  4 Te 3.33, 4 In 3.43
In 0.5000 0.5000 0.5000  8 Nd 3.43, 4 In 3.77
Te 0.5000 0.5000 0.0000  8 Nd 3.33

## Properties
Polymorph energy (0 for the lowest one) = 153.8 meV/atom
Space-group type = P4/mmm, No. 123

---

Record 2
Crystalline Nd2ThIn3Te6 at its relaxed geometry, computed with PBE.

abc: 7.7109 7.7109 8.6492
angles: 98.53 98.53 119.99
Closest atoms and distances in Å follow each position.
Atoms (fractional coordinates):
Nd 0.1663 0.8337 0.0000  6 Te 3.21
Nd 0.8337 0.1663 0.0000  6 Te 3.21
Th 0.5000 0.5000 0.0000  6 Te 3.16-3.17
In 0.0000 0.0000 0.5000  6 Te 3.40-3.43
In 0.3316 0.6684 0.5000  6 Te 3.39-3.42
In 0.6684 0.3316 0.5000  6 Te 3.39-3.42
Te 0.0954 0.4240 0.7712  1 Th 3.16, 2 Nd 3.21, 3 In 3.39-3.42
Te 0.2488 0.2488 0.2306  1 Th 3.17, 2 Nd 3.21, 3 In 3.40-3.43
Te 0.4240 0.0954 0.7712  1 Th 3.16, 2 Nd 3.21, 3 In 3.39-3.42
Te 0.5760 0.9046 0.2288  1 Th 3.16, 2 Nd 3.21, 3 In 3.39-3.42
Te 0.7512 0.7512 0.7694  1 Th 3.17, 2 Nd 3.21, 3 In 3.40-3.43
Te 0.9046 0.5760 0.2288  1 Th 3.16, 2 Nd 3.21, 3 In 3.39-3.42

## Properties
Space-group type = C2/m, No. 12

---

Ordered total DFT energy (no corrections) results: -4.682; -4.582; unit eV per atom.
Ordered formation energy without anion corrections results: -0.828; -0.914; unit eV/atom.